! GGA+U RbDyMnO3, relaxed; values from VASP
! - E_tot (Ry per atom) = -0.507
&SYSTEM
  ibrav = 0, nat = 12, ntyp = 4
/
ATOMIC_SPECIES
Rb 85.47 Rb.upf
Dy 162.50 Dy.upf
Mn 54.94 Mn.upf
O 16.00 O.upf
ATOMIC_POSITIONS angstrom
Rb 1.795 2.666 6.918
Rb 0.000 4.241 2.306
Dy 0.000 0.000 4.612
Dy 0.000 0.000 0.000
Mn 0.000 5.851 6.918
Mn 1.795 1.057 2.306
O 1.795 1.421 4.252
O 0.000 5.487 4.972
O 0.000 5.487 8.864
O 1.795 1.421 0.360
O 0.000 0.235 6.918
O 1.795 6.672 2.306
CELL_PARAMETERS angstrom
3.589 0.000 0.000
-1.795 6.908 0.000
0.000 0.000 9.223



! GGA+U Dy2MnS2O2, relaxed; values from VASP
! - E_tot (Ry per atom) = -0.543
&SYSTEM
  ibrav = 0, nat = 7, ntyp = 4
/
ATOMIC_SPECIES
Dy 162.50 Dy.upf
Mn 54.94 Mn.upf
S 32.06 S.upf
O 16.00 O.upf
ATOMIC_POSITIONS angstrom
Dy -2.259 1.369 2.333
Dy -4.883 4.708 5.616
Mn 0.000 0.000 0.000
S -2.032 3.665 4.154
S -5.110 2.412 3.795
O -4.279 3.074 6.968
O -2.863 3.003 0.981
CELL_PARAMETERS angstrom
-1.363 3.453 -0.364
-5.496 0.106 2.479
-0.283 2.517 5.834



! GGA+U DyMn2SbO6, relaxed; values from VASP
! - E_tot (Ry per atom) = -0.535
&SYSTEM
  ibrav = 0, nat = 10, ntyp = 4
/
ATOMIC_SPECIES
Dy 162.50 Dy.upf
Mn 54.94 Mn.upf
Sb 121.76 Sb.upf
O 16.00 O.upf
ATOMIC_POSITIONS angstrom
Dy 8.341 4.816 2.819
Mn 5.561 3.211 2.049
Mn 2.780 1.605 4.396
Sb 2.780 1.605 0.381
O 5.104 1.564 1.082
O 4.364 4.429 1.082
O 7.215 3.638 1.082
O 6.150 4.637 3.446
O 6.502 1.987 3.446
O 4.031 3.007 3.446
CELL_PARAMETERS angstrom
5.561 0.000 0.000
2.781 4.816 0.000
2.780 1.605 4.631



! GGA+U DyMnSeO2, relaxed; values from VASP
! - E_tot (Ry per atom) = -0.522
&SYSTEM
  ibrav = 0, nat = 5, ntyp = 4
/
ATOMIC_SPECIES
Dy 162.50 Dy.upf
Mn 54.94 Mn.upf
Se 78.96 Se.upf
O 16.00 O.upf
ATOMIC_POSITIONS angstrom
Dy 0.251 -1.509 1.019
Mn -0.308 -4.474 -0.100
Se -0.738 -1.889 -1.846
O -1.248 -3.287 1.145
O 1.315 -3.445 0.281
CELL_PARAMETERS angstrom
-3.359 -1.382 -1.219
1.767 -1.697 -2.946
1.626 -3.454 5.456



! GGA+U Sr2DyMnO5, relaxed; values from VASP
! - E_tot (Ry per atom) = -0.522
&SYSTEM
  ibrav = 0, nat = 18, ntyp = 4
/
ATOMIC_SPECIES
Sr 87.62 Sr.upf
Dy 162.50 Dy.upf
Mn 54.94 Mn.upf
O 16.00 O.upf
ATOMIC_POSITIONS angstrom
Sr 1.749 4.653 9.349
Sr 0.000 1.155 7.854
Sr 0.000 2.018 3.559
Sr 1.749 5.516 2.065
Dy 1.749 3.840 6.117
Dy 0.000 2.830 0.328
Mn 1.749 0.318 10.934
Mn 0.000 6.352 5.144
O 0.000 5.054 11.406
O 1.749 2.292 10.485
O 0.000 6.503 9.045
O 0.000 3.612 7.626
O 1.749 6.048 6.195
O 1.749 1.616 5.617
O 0.000 4.379 4.696
O 1.749 0.167 3.256
O 1.749 3.058 1.836
O 0.000 0.622 0.406
CELL_PARAMETERS angstrom
3.497 0.000 0.000
-1.749 6.670 0.000
0.000 0.000 11.578



! GGA+U Sr2DyMnO6, relaxed; values from VASP
! - E_tot (Ry per atom) = -0.510
&SYSTEM
  ibrav = 0, nat = 10, ntyp = 4
/
ATOMIC_SPECIES
Sr 87.62 Sr.upf
Mn 54.94 Mn.upf
O 16.00 O.upf
Dy 162.50 Dy.upf
ATOMIC_POSITIONS angstrom
Sr -0.714 -2.697 -2.205
Sr -2.141 -8.090 -6.614
Mn 0.000 0.000 0.000
O -1.465 -7.517 -3.846
O -3.302 -5.657 -5.526
O 0.446 -5.130 -3.292
O -0.281 -5.893 -6.216
O -1.391 -3.270 -4.973
O -2.575 -4.894 -2.602
Dy -1.428 -5.393 -4.409
CELL_PARAMETERS angstrom
-1.358 -1.426 -5.462
2.074 -4.901 -2.323
-3.570 -4.460 -1.034



! GGA+U DyMnTeO2, relaxed; values from VASP
! - E_tot (Ry per atom) = -0.514
&SYSTEM
  ibrav = 0, nat = 5, ntyp = 4
/
ATOMIC_SPECIES
Dy 162.50 Dy.upf
Mn 54.94 Mn.upf
Te 127.60 Te.upf
O 16.00 O.upf
ATOMIC_POSITIONS angstrom
Dy 0.000 0.000 2.196
Mn 1.936 1.936 4.010
Te 1.936 1.936 0.104
O 1.936 0.000 3.316
O 0.000 1.936 3.316
CELL_PARAMETERS angstrom
3.872 0.000 0.000
0.000 3.872 0.000
-1.936 -1.936 6.470



! GGA+U DyMn2TlO6, relaxed; values from VASP
! - E_tot (Ry per atom) = -0.513
&SYSTEM
  ibrav = 0, nat = 10, ntyp = 4
/
ATOMIC_SPECIES
Dy 162.50 Dy.upf
Mn 54.94 Mn.upf
Tl 204.38 Tl.upf
O 16.00 O.upf
ATOMIC_POSITIONS angstrom
Dy -6.002 -8.235 -1.260
Mn -4.030 -5.541 -0.749
Mn -0.063 -5.368 -0.288
Tl -2.148 -2.642 -0.249
O -3.703 -4.210 0.648
O -4.508 -4.149 -2.013
O -6.368 -5.948 -0.335
O -4.425 -6.859 -2.149
O -3.689 -6.913 0.599
O -1.810 -5.441 -1.162
CELL_PARAMETERS angstrom
-4.385 -3.265 2.046
-3.609 -2.637 -3.257
0.104 -5.542 -0.262



! GGA+U DyUMnO6, relaxed; values from VASP
! - E_tot (Ry per atom) = -0.626
&SYSTEM
  ibrav = 0, nat = 18, ntyp = 4
/
ATOMIC_SPECIES
Dy 162.50 Dy.upf
U 238.03 U.upf
Mn 54.94 Mn.upf
O 16.00 O.upf
ATOMIC_POSITIONS angstrom
Dy 1.130 -3.725 -0.648
Dy -3.540 -5.958 -2.422
U -0.903 -2.499 -2.917
U -1.508 -7.184 -0.153
Mn 0.000 0.000 0.000
Mn -2.637 -3.459 0.495
O 1.160 -2.680 -2.675
O -0.817 -1.466 -4.725
O 0.537 -7.331 0.225
O -1.593 -8.217 1.655
O -1.094 -3.447 -1.070
O -0.605 -4.242 -4.022
O -1.298 -8.873 -1.356
O -2.947 -2.352 -3.295
O -1.805 -5.441 0.952
O -1.112 -0.810 -1.714
O -1.316 -6.236 -2.000
O -3.570 -7.003 -0.395
CELL_PARAMETERS angstrom
-1.617 0.455 -5.433
4.481 -3.220 1.373
-5.275 -6.918 0.990



! GGA+U DyUMn2O8, relaxed; values from VASP
! - E_tot (Ry per atom) = -0.605
&SYSTEM
  ibrav = 0, nat = 12, ntyp = 4
/
ATOMIC_SPECIES
Dy 162.50 Dy.upf
U 238.03 U.upf
Mn 54.94 Mn.upf
O 16.00 O.upf
ATOMIC_POSITIONS angstrom
Dy 0.119 0.119 3.455
U 0.000 0.000 0.000
Mn 2.535 2.508 5.180
Mn 2.642 2.613 2.051
O 1.194 3.876 1.801
O 3.507 3.468 0.508
O 3.888 1.151 1.802
O 3.982 1.246 5.430
O 1.670 1.654 6.722
O 1.288 3.970 5.429
O 3.457 3.419 3.749
O 1.720 1.702 3.482
CELL_PARAMETERS angstrom
4.767 0.119 0.161
0.173 4.765 0.159
0.237 0.238 6.910



! GGA+U DyMnZnO4, relaxed; values from VASP
! - E_tot (Ry per atom) = -0.493
&SYSTEM
  ibrav = 0, nat = 14, ntyp = 4
/
ATOMIC_SPECIES
Dy 162.50 Dy.upf
Mn 54.94 Mn.upf
Zn 65.41 Zn.upf
O 16.00 O.upf
ATOMIC_POSITIONS angstrom
Dy 0.000 0.000 0.000
Dy -4.853 2.122 -0.712
Mn -3.163 4.220 0.881
Mn -2.588 1.233 1.256
Zn -4.268 5.141 -2.621
Zn -6.588 5.080 0.446
O -8.175 7.631 -1.855
O -7.490 4.665 -1.471
O -3.366 5.555 -0.703
O -2.681 2.590 -0.319
O -5.153 3.378 -2.522
O -5.739 6.427 -2.905
O -5.117 3.794 0.730
O -5.704 6.842 0.348
CELL_PARAMETERS angstrom
-1.149 5.975 -0.751
-4.530 1.780 -3.936
-5.176 2.465 2.512



- What is the formula in the third record?
  DyMn2SbO6